First-principles (PBE with a Hubbard U) data for a relaxed CrCuP2O crystal, as listed in Alexandria.

Lattice parameters (Å, degrees): 4.709 4.709 3.528 90.00 90.00 90.00
Element x y z (fractional)
Cr1 0.000 0.000 0.000
Cu1 0.500 0.500 0.500
P1 0.000 0.500 0.500
P2 0.500 0.000 0.500
O1 0.500 0.500 0.000

Summary:
Polymorph energy (0 for the lowest one) (meV/atom): 143
Symmetry: P4/mmm (123)